Entry from Alexandria via LeMat-Bulk: Sr2ZnGe3Rh4 after structural relaxation (GGA-PBE).

Values from the calculation:
energy of formation: -66.6 kJ/mol of atoms
total energy: -54.8 eV per cell

Cell: 4.3113 4.3113 10.2645 Å, 90.00 90.00 90.00°
Space group P-4m2 (No. 115)
Symmetry-distinct sites (fractional):
Sr 0.0000 0.5000 0.2490
Zn 0.5000 0.5000 0.0000
Ge 0.0000 0.0000 0.0000
Ge 0.0000 0.5000 0.6245
Rh 0.0000 0.0000 0.5000
Rh 0.0000 0.5000 0.8700
Rh 0.5000 0.5000 0.5000